[1]
The following is a PBE calculation of a relaxed structure of SmTiP, from the Alexandria database.

abc: 3.931 3.931 7.693
angles: 90.00 90.00 90.00
Element x y z (fractional)
1 Sm 0.000 0.500 0.851
2 Sm 0.500 0.000 0.149
3 Ti 0.500 0.500 0.500
4 Ti 0.000 0.000 0.500
5 P 0.500 0.000 0.726
6 P 0.000 0.500 0.274

Summary:
Its space-group type is P4/nmm. The calculation puts the volume at 19.8 Å³ per atom. For the calculated formation energy, the calculation gives -1.06 eV per atom.

***

[2]
The following is a PBE calculation of a relaxed structure of Sm2TlP, from the Alexandria database.

abc: 3.975 3.975 8.610
angles: 76.66 76.66 60.00
Element x y z (fractional)
1 Sm 0.267 0.267 0.198
2 Sm 0.066 0.066 0.803
3 Tl 0.500 0.500 0.500
4 P 0.667 0.667 0.998

Summary:
Its space-group type is R3m. The energy above the most stable polymorph in this dataset is 46 meV per atom. The calculation puts the volume at 28.4 Å³ per atom. For the calculated formation energy, the calculation gives -0.91 eV per atom.

***

[3]
The following is a PBE calculation of a relaxed structure of Sm2TlP, from the Alexandria database.

abc: 4.022 4.020 8.345
angles: 103.97 90.00 120.02
Element x y z (fractional)
1 Sm 0.265 0.030 0.296
2 Sm 0.735 0.970 0.704
3 Tl 0.500 0.500 0.000
4 P 0.000 0.500 0.500

Summary:
Its space-group type is R-3m. The energy above the most stable polymorph in this dataset is 0 meV per atom. The calculation puts the volume at 28.1 Å³ per atom. For the calculated formation energy, the calculation gives -0.96 eV per atom.